Record 1
Entry from the Alexandria database: a relaxed structure of ZnHgS2Cl (PBE).

Lattice parameters (Å, degrees): 4.7805 4.7805 4.7944 90.00 90.00 90.00
Space group P4/mmm (No. 123)
One atom of each set of equivalent atoms:
Zn (0.0000, 0.0000, 0.0000) [1 per cell]
Hg (0.5000, 0.5000, 0.5000) [1 per cell]
S (0.0000, 0.5000, 0.0000) [2 per cell]
Cl (0.0000, 0.0000, 0.5000) [1 per cell]

* DOS(E_F): 4.5 states/eV per cell
* distance to the lowest polymorph of the same formula: 0.000 eV/atom
* magnetization: 0.000 μB/f.u.
* E_form (uncorrected): 211 meV/atom
* total energy: -10.62 eV per cell

Record 2
Entry from the Alexandria database: a relaxed structure of Cd2AgRh (PBE).

Lattice parameters (Å, degrees): 3.1317 4.8408 9.7499 90.00 90.00 90.00
Space group Cmm2 (No. 35)
One atom of each set of equivalent atoms:
Cd (0.0000, 0.0000, 0.0000) [2 per cell]
Cd (0.0000, 0.5000, 0.2826) [2 per cell]
Ag (0.0000, 0.5000, 0.7466) [2 per cell]
Rh (0.0000, 0.0000, 0.5122) [2 per cell]

* calculated formation energy: 0.14 eV per atom
* DOS(E_F): 6.5 states/eV per cell
* distance to the lowest polymorph of the same formula: 0.249 eV/atom
* magnetization: 0.000 μB/f.u.
* total energy: -22.94 eV per cell

Record 3
Entry from the Alexandria database: a relaxed structure of KRe2Sb (PBE).

Lattice parameters (Å, degrees): 2.9496 3.8656 8.2639 90.00 91.08 90.00
Space group Pm (No. 6)
One atom of each set of equivalent atoms:
K (0.0000, 0.0000, 0.0000) [1 per cell]
Re (0.4828, 0.5000, 0.3290) [1 per cell]
Re (0.9140, 0.0000, 0.4533) [1 per cell]
Sb (0.4850, 0.5000, 0.6645) [1 per cell]

* DOS(E_F): 2.3 states/eV per cell
* magnetization: 0.000 μB/f.u.
* E_form (uncorrected): 530 meV/atom
* total energy: -27.99 eV per cell

Record 4
Entry from the Alexandria database: a relaxed structure of PmSeO (PBE).

Lattice parameters (Å, degrees): 6.6190 4.2991 8.7736 90.00 93.06 90.00
Space group C2/m (No. 12)
One atom of each set of equivalent atoms:
Pm (0.1861, 0.0000, 0.1658) [4 per cell]
Se (0.0835, 0.5000, 0.3842) [4 per cell]
O (0.1710, 0.0000, 0.8985) [4 per cell]

* DOS(E_F): 0.0 states/eV per cell
* distance to the lowest polymorph of the same formula: 0.096 eV/atom
* magnetization: 0.000 μB/f.u.
* E_form (uncorrected): -2353 meV/atom
* total energy: -81.01 eV per cell

Record 5
Entry from the Alexandria database: a relaxed structure of LiMnAs (PBE).

Lattice parameters (Å, degrees): 5.8149 5.8149 5.8149 90.00 90.00 90.00
Space group F-43m (No. 216)
One atom of each set of equivalent atoms:
Li (0.0000, 0.0000, 0.0000) [4 per cell]
Mn (0.2500, 0.2500, 0.7500) [4 per cell]
As (0.2500, 0.2500, 0.2500) [4 per cell]

* calculated formation energy: 0.02 eV per atom
* DOS(E_F): 4.8 states/eV per cell
* distance to the lowest polymorph of the same formula: 0.487 eV/atom
* magnetization: 4.539 μB/f.u.
* total energy: -62.65 eV per cell

Record 6
Entry from the Alexandria database: a relaxed structure of Cu2SiAs (PBE).

Lattice parameters (Å, degrees): 3.7740 3.7740 8.1254 90.00 90.00 90.00
Space group I-4m2 (No. 119)
One atom of each set of equivalent atoms:
Cu (0.0000, 0.0000, 0.0000) [2 per cell]
Cu (0.0000, 0.5000, 0.2500) [2 per cell]
Si (0.0000, 0.5000, 0.7500) [2 per cell]
As (0.0000, 0.0000, 0.5000) [2 per cell]

* DOS(E_F): 2.8 states/eV per cell
* magnetization: 0.000 μB/f.u.
* E_form (uncorrected): 253 meV/atom
* total energy: -34.50 eV per cell